Here is a relaxed GaSiNi3 crystal from Alexandria. Energies are from PBE.

The space-group type is No. 221. As for the total energy: -4.9017 eV/atom. As for the total magnetic moment: 0.00 μB/cell.

Lattice parameters (Å, degrees): 4.190 4.190 4.190 90.00 90.00 90.00
Sites, in units of the cell vectors:
Ga (0.500, 0.500, 0.500)
Ni (0.000, 0.000, 0.500)
Ni (0.000, 0.500, 0.000)
Si (0.000, 0.000, 0.000)
Ni (0.500, 0.000, 0.000)

***

Here is a relaxed Ga2SiNi2 crystal from Alexandria. Energies are from PBE.

The space-group type is No. 164. As for the total energy: -5.0027 eV/atom. As for the total magnetic moment: 0.00 μB/cell.

Lattice parameters (Å, degrees): 3.964 3.964 4.963 90.00 90.00 60.00
Sites, in units of the cell vectors:
Ga (0.167, 0.667, 0.364)
Si (0.500, 0.000, 0.000)
Ni (0.167, 0.667, 0.862)
Ga (0.833, 0.333, 0.636)
Ni (0.833, 0.333, 0.138)

***

Here is a relaxed Ga3SiNi3 crystal from Alexandria. Energies are from PBE.

The space-group type is No. 12. As for the total energy: -4.7871 eV/atom. As for the total magnetic moment: 0.00 μB/cell.

Lattice parameters (Å, degrees): 5.124 5.124 7.833 89.98 89.98 113.18
Sites, in units of the cell vectors:
Si (0.306, 0.306, 0.061)
Ni (0.959, 0.959, 0.226)
Ni (0.051, 0.491, 0.253)
Ga (0.832, 0.168, 0.500)
Ga (0.168, 0.832, 0.500)
Ni (0.491, 0.051, 0.253)
Ga (0.215, 0.785, 0.000)
Ni (0.041, 0.041, 0.774)
Ni (0.949, 0.509, 0.747)
Si (0.694, 0.694, 0.939)
Ni (0.509, 0.949, 0.747)
Ga (0.785, 0.215, 0.000)
Ga (0.438, 0.438, 0.658)
Ga (0.562, 0.562, 0.342)

***

Question: Number 2 is which compound?
Answer: Ga2SiNi2

***

Question: Which formula does entry 2 have?
Answer: Ga2SiNi2

***

Question: Which formula does entry 1 have?
Answer: GaSiNi3